No. 1
LaTbGa | the Alexandria database | PBE | optimized geometry; E_form = -0.38 eV/atom; total magnetic moment = 1.0 μB per cell; energy above the lowest structure with this stoichiometry = 0.0000 eV/atom; volume = 29.258 A^3/atom; SG = No. 129
1.0
4.710 0.000 0.000
0.000 4.710 0.000
0.000 0.000 7.914
La Tb Ga
2 2 2
Direct
0.000 0.500 0.859
0.500 0.000 0.141
0.500 0.500 0.500
0.000 0.000 0.500
0.000 0.500 0.250
0.500 0.000 0.750


No. 2
La2Tb3Ga4 | the Alexandria database | PBE | optimized geometry; E_form = -0.44 eV/atom; total magnetic moment = 0.0 μB per cell; energy above the lowest structure with this stoichiometry = 0.1323 eV/atom; volume = 27.095 A^3/atom; SG = No. 64
1.0
-5.480 -3.755 -2.198
1.899 -6.157 5.783
-1.945 5.534 6.530
La Tb Ga
4 6 8
Direct
0.107 0.576 0.214
0.893 0.424 0.786
0.393 0.076 0.786
0.607 0.924 0.214
0.000 0.000 0.000
0.500 0.500 0.000
0.532 0.750 0.565
0.968 0.250 0.435
0.468 0.250 0.435
0.032 0.750 0.565
0.714 0.750 0.929
0.786 0.250 0.071
0.286 0.250 0.071
0.214 0.750 0.929
0.185 0.961 0.369
0.815 0.039 0.631
0.315 0.461 0.631
0.685 0.539 0.369


No. 3
La2Tb3Ga2 | the Alexandria database | PBE | optimized geometry; E_form = -0.31 eV/atom; total magnetic moment = 0.0 μB per cell; volume = 29.875 A^3/atom; SG = No. 12
1.0
-4.057 -0.097 1.766
3.762 -4.384 2.858
1.289 7.578 3.378
La Tb Ga
2 3 2
Direct
0.851 0.701 0.194
0.149 0.299 0.806
0.500 0.000 0.000
0.630 0.261 0.446
0.370 0.739 0.554
0.840 0.679 0.787
0.160 0.321 0.213


No. 4
La2TbGa | the Alexandria database | PBE | optimized geometry; E_form = -0.12 eV/atom; total magnetic moment = 0.0 μB per cell; energy above the lowest structure with this stoichiometry = 0.1405 eV/atom; volume = 29.827 A^3/atom; SG = No. 225
1.0
-2.005 -2.396 4.558
-2.516 -4.908 -0.337
2.448 -4.507 2.057
Tb Ga La
1 1 2
Direct
0.500 0.500 0.500
0.000 0.000 0.000
0.250 0.250 0.250
0.750 0.750 0.750


No. 5
La4TbGa5 | the Alexandria database | PBE | optimized geometry; E_form = -0.57 eV/atom; total magnetic moment = 0.0 μB per cell; volume = 26.046 A^3/atom; SG = No. 123
1.0
-3.318 0.494 -1.615
-1.435 -2.701 2.122
-4.495 12.689 13.115
La Tb Ga
4 1 5
Direct
0.000 0.000 0.194
0.000 0.000 0.398
0.000 0.000 0.602
0.000 0.000 0.806
0.000 0.000 0.000
0.500 0.500 0.088
0.500 0.500 0.296
0.500 0.500 0.500
0.500 0.500 0.704
0.500 0.500 0.912


No. 6
La2TbGa | the Alexandria database | PBE | optimized geometry; E_form = -0.23 eV/atom; total magnetic moment = 0.0 μB per cell; energy above the lowest structure with this stoichiometry = 0.0233 eV/atom; volume = 31.100 A^3/atom; SG = No. 123
1.0
3.770 0.000 0.000
0.000 3.770 0.000
0.000 0.000 8.750
Tb Ga La
1 1 2
Direct
0.500 0.500 0.500
0.500 0.500 0.000
0.000 0.000 0.792
0.000 0.000 0.208